No. 1
First-principles (PBE) data for TmPu2NpSe4 after structural relaxation, as listed in Alexandria via LeMat-Bulk.

Unit cell a=7.064 b=4.070 c=7.158 alpha=90.00 beta=109.14 gamma=90.00
Element x y z (fractional)
Tm1 0.000 0.000 0.000
Pu1 0.500 0.000 0.500
Pu2 0.500 0.500 0.000
Np1 0.000 0.500 0.500
Se1 0.242 0.500 0.244
Se2 0.246 0.000 0.753
Se3 0.754 0.000 0.247
Se4 0.758 0.500 0.756

Properties
Calculated density (g/cm³): 10.3
Volume (A^3/atom): 24.30

***

No. 2
First-principles (PBE) data for PuNp3U3Se8 after structural relaxation, as listed in Alexandria via LeMat-Bulk.

Unit cell a=8.184 b=8.184 c=8.184 alpha=59.06 beta=59.06 gamma=59.06
Element x y z (fractional)
Pu1 0.000 0.000 0.000
Np1 0.000 0.000 0.500
Np2 0.000 0.500 0.000
Np3 0.500 0.000 0.000
U1 0.000 0.500 0.500
U2 0.500 0.000 0.500
U3 0.500 0.500 0.000
Se1 0.250 0.250 0.250
Se2 0.256 0.256 0.743
Se3 0.256 0.743 0.256
Se4 0.257 0.744 0.744
Se5 0.743 0.256 0.256
Se6 0.744 0.257 0.744
Se7 0.744 0.744 0.257
Se8 0.750 0.750 0.750

Properties
Calculated density (g/cm³): 10.1
Volume (A^3/atom): 25.29

***

No. 3
First-principles (PBE) data for PuNpU2Se4 after structural relaxation, as listed in Alexandria via LeMat-Bulk.

Unit cell a=6.970 b=4.000 c=7.265 alpha=90.00 beta=108.48 gamma=90.00
Element x y z (fractional)
Pu1 0.000 0.000 0.000
Np1 0.500 0.500 0.000
U1 0.000 0.500 0.500
U2 0.500 0.000 0.500
Se1 0.251 0.500 0.251
Se2 0.252 0.000 0.750
Se3 0.748 0.000 0.250
Se4 0.749 0.500 0.749

Properties
Calculated density (g/cm³): 11.0
Volume (A^3/atom): 24.01

***

No. 4
First-principles (PBE) data for Pu2NpU3Se6 after structural relaxation, as listed in Alexandria via LeMat-Bulk.

Unit cell a=9.248 b=9.248 c=8.360 alpha=105.64 beta=105.64 gamma=25.05
Element x y z (fractional)
Pu1 0.166 0.166 0.333
Pu2 0.834 0.834 0.667
Np1 0.500 0.500 0.000
U1 0.167 0.167 0.834
U2 0.500 0.500 0.500
U3 0.833 0.833 0.166
Se1 0.000 0.000 0.249
Se2 0.000 0.000 0.751
Se3 0.333 0.333 0.417
Se4 0.334 0.334 0.916
Se5 0.666 0.666 0.084
Se6 0.667 0.667 0.583

Properties
Calculated density (g/cm³): 10.9
Volume (A^3/atom): 24.25

***

No. 5
First-principles (PBE) data for YPu2NpSe4 after structural relaxation, as listed in Alexandria via LeMat-Bulk.

Unit cell a=7.095 b=4.093 c=7.182 alpha=90.00 beta=109.21 gamma=90.00
Element x y z (fractional)
Y1 0.000 0.000 0.000
Pu1 0.500 0.000 0.500
Pu2 0.500 0.500 0.000
Np1 0.000 0.500 0.500
Se1 0.246 0.500 0.249
Se2 0.248 0.000 0.750
Se3 0.752 0.000 0.250
Se4 0.754 0.500 0.751

Properties
Calculated density (g/cm³): 9.5
Volume (A^3/atom): 24.62

***

No. 6
First-principles (PBE) data for Y3Pu2NpSe6 after structural relaxation, as listed in Alexandria via LeMat-Bulk.

Unit cell a=9.187 b=9.187 c=8.221 alpha=102.73 beta=102.73 gamma=25.78
Element x y z (fractional)
Y1 0.000 0.000 0.000
Y2 0.333 0.333 0.664
Y3 0.667 0.667 0.336
Pu1 0.334 0.334 0.166
Pu2 0.666 0.666 0.834
Np1 0.000 0.000 0.500
Se1 0.166 0.166 0.086
Se2 0.168 0.168 0.582
Se3 0.498 0.498 0.751
Se4 0.502 0.502 0.249
Se5 0.832 0.832 0.418
Se6 0.834 0.834 0.914

Properties
Calculated density (g/cm³): 8.3
Volume (A^3/atom): 24.49

***

No. 7
First-principles (PBE) data for YPuNp2Se4 after structural relaxation, as listed in Alexandria via LeMat-Bulk.

Unit cell a=7.077 b=4.085 c=7.155 alpha=90.00 beta=109.25 gamma=90.00
Element x y z (fractional)
Y1 0.000 0.000 0.000
Pu1 0.500 0.500 0.000
Np1 0.000 0.500 0.500
Np2 0.500 0.000 0.500
Se1 0.248 0.000 0.750
Se2 0.248 0.500 0.250
Se3 0.752 0.000 0.250
Se4 0.752 0.500 0.750

Properties
Calculated density (g/cm³): 9.5
Volume (A^3/atom): 24.41

***

No. 8
First-principles (PBE) data for PuNpSi4 after structural relaxation, as listed in Alexandria via LeMat-Bulk.

Unit cell a=5.220 b=5.220 c=5.220 alpha=60.00 beta=60.00 gamma=60.00
Element x y z (fractional)
Pu1 0.000 0.000 0.000
Np1 0.750 0.750 0.750
Si1 0.375 0.375 0.375
Si2 0.375 0.375 0.876
Si3 0.375 0.876 0.375
Si4 0.876 0.375 0.375

Properties
Excess energy over the best structure of this formula in the dataset (meV/atom): 0
Calculated density (g/cm³): 9.8
Volume (A^3/atom): 16.77

***

No. 9
First-principles (PBE) data for Pu2NpSi after structural relaxation, as listed in Alexandria via LeMat-Bulk.

Unit cell a=3.715 b=3.715 c=18.457 alpha=90.00 beta=90.00 gamma=120.00
Element x y z (fractional)
Pu1 0.000 0.000 0.236
Pu2 0.000 0.000 0.764
Pu3 0.333 0.667 0.430
Pu4 0.333 0.667 0.903
Pu5 0.667 0.333 0.097
Pu6 0.667 0.333 0.570
Np1 0.000 0.000 0.500
Np2 0.333 0.667 0.167
Np3 0.667 0.333 0.833
Si1 0.000 0.000 0.000
Si2 0.333 0.667 0.667
Si3 0.667 0.333 0.333

Properties
Excess energy over the best structure of this formula in the dataset (meV/atom): 220
Calculated density (g/cm³): 17.0
Volume (A^3/atom): 18.38

***

No. 10
First-principles (PBE) data for PuNp2Si after structural relaxation, as listed in Alexandria via LeMat-Bulk.

Unit cell a=4.196 b=4.196 c=4.349 alpha=90.00 beta=90.00 gamma=90.00
Element x y z (fractional)
Pu1 0.000 0.000 0.000
Np1 0.000 0.500 0.500
Np2 0.500 0.000 0.500
Si1 0.500 0.500 0.000

Properties
Excess energy over the best structure of this formula in the dataset (meV/atom): 0
Calculated density (g/cm³): 16.2
Volume (A^3/atom): 19.14

***

No. 11
First-principles (PBE) data for PuNpSi3 after structural relaxation, as listed in Alexandria via LeMat-Bulk.

Unit cell a=12.592 b=12.592 c=4.004 alpha=90.00 beta=90.00 gamma=162.16
Element x y z (fractional)
Pu1 0.208 0.792 0.750
Pu2 0.792 0.208 0.250
Np1 0.070 0.930 0.250
Np2 0.930 0.070 0.750
Si1 0.331 0.669 0.750
Si2 0.383 0.617 0.250
Si3 0.476 0.524 0.250
Si4 0.524 0.476 0.750
Si5 0.617 0.383 0.750
Si6 0.669 0.331 0.250

Properties
Calculated density (g/cm³): 9.7
Volume (A^3/atom): 19.45

***

No. 12
First-principles (PBE) data for Pu2NpSi after structural relaxation, as listed in Alexandria via LeMat-Bulk.

Unit cell a=4.302 b=4.302 c=4.240 alpha=90.00 beta=90.00 gamma=90.00
Element x y z (fractional)
Pu1 0.000 0.500 0.000
Pu2 0.500 0.000 0.000
Np1 0.000 0.000 0.500
Si1 0.500 0.500 0.500

Properties
Excess energy over the best structure of this formula in the dataset (meV/atom): 0
Calculated density (g/cm³): 15.9
Volume (A^3/atom): 19.62

***

no.,E_tot (Ha/atom)
1,-0.32889
2,-0.32244
3,-0.33472
4,-0.33833
5,-0.33897
6,-0.30919
7,-0.32818
8,-0.30960
9,-0.42797
10,-0.42223
11,-0.33194
12,-0.43604